# 1
FePtAu | PBE | optimized geometry

Structure (CIF):
```
data_FePtAu
_cell_length_a 2.8434
_cell_length_b 2.8434
_cell_length_c 11.4346
_cell_angle_alpha 90.00
_cell_angle_beta 90.00
_cell_angle_gamma 90.00
_space_group_name_H-M_alt 'I 4 m m'
_space_group_IT_number 107
_space_group_name_Hall 'I 4 -2'
loop_
_atom_site_label
_atom_site_type_symbol
_atom_site_fract_x
_atom_site_fract_y
_atom_site_fract_z
Fe1 Fe 0.0000 0.0000 0.0000
Pt1 Pt 0.0000 0.0000 0.3531
Au1 Au 0.0000 0.0000 0.6651
```

Computed properties:
Total magnetic moment   3.40 μB per formula unit
VASP energy   -5.984 eV/atom
Relative energy among the computed polymorphs   4 meV per atom
Calculated formation energy   -57 meV/atom

---

# 2
PuPaAs2 | PBE | optimized geometry

Structure (CIF):
```
data_PuPaAs2
_cell_length_a 4.0463
_cell_length_b 4.0463
_cell_length_c 25.8346
_cell_angle_alpha 90.00
_cell_angle_beta 90.00
_cell_angle_gamma 120.00
_space_group_name_H-M_alt 'R -3 m'
_space_group_IT_number 166
_space_group_name_Hall '-R 3 2"'
loop_
_atom_site_label
_atom_site_type_symbol
_atom_site_fract_x
_atom_site_fract_y
_atom_site_fract_z
Pu1 Pu 0.0000 0.0000 0.0000
Pa1 Pa 0.0000 0.0000 0.5000
As1 As 0.0000 0.0000 0.3960
```

Computed properties:
Total magnetic moment   5.38 μB per formula unit
VASP energy   -8.314 eV/atom
Relative energy among the computed polymorphs   1024 meV per atom
Calculated formation energy   -32 meV/atom

---

# 3
HfTeI2F | PBE | optimized geometry

Structure (CIF):
```
data_HfTeI2F
_cell_length_a 5.6287
_cell_length_b 5.6287
_cell_length_c 5.5281
_cell_angle_alpha 90.00
_cell_angle_beta 90.00
_cell_angle_gamma 90.00
_space_group_name_H-M_alt 'P 4/m m m'
_space_group_IT_number 123
_space_group_name_Hall '-P 4 2'
loop_
_atom_site_label
_atom_site_type_symbol
_atom_site_fract_x
_atom_site_fract_y
_atom_site_fract_z
Hf1 Hf 0.0000 0.0000 0.0000
Te1 Te 0.0000 0.0000 0.5000
I1 I 0.0000 0.5000 0.0000
F1 F 0.5000 0.5000 0.5000
```

Computed properties:
Total magnetic moment   0.68 μB per formula unit
VASP energy   -4.080 eV/atom
Relative energy among the computed polymorphs   0 meV per atom
Formation energy from raw total energies   -0.466 eV per atom

---

# 4
PaNbS6 | PBE | optimized geometry

Structure (CIF):
```
data_PaNbS6
_cell_length_a 6.0287
_cell_length_b 6.2668
_cell_length_c 6.6322
_cell_angle_alpha 98.13
_cell_angle_beta 108.82
_cell_angle_gamma 117.90
_space_group_name_H-M_alt 'P -1'
_space_group_IT_number 2
loop_
_space_group_symop_operation_xyz
'x,y,z'
'-x,-y,-z'
loop_
_atom_site_label
_atom_site_type_symbol
_atom_site_fract_x
_atom_site_fract_y
_atom_site_fract_z
Pa1 Pa 0.0000 0.0000 0.0000
Nb1 Nb 0.0000 0.5000 0.5000
S1 S 0.0938 0.1684 0.6360
S2 S 0.1550 0.4591 0.2121
S3 S 0.4777 0.8303 0.7647
```

Computed properties:
Total magnetic moment   0.00 μB per formula unit
VASP energy   -6.305 eV/atom
Formation energy from raw total energies   -0.764 eV per atom

---

# 5
SmDyI5 | PBE | optimized geometry

Structure (CIF):
```
data_SmDyI5
_cell_length_a 9.4333
_cell_length_b 4.1451
_cell_length_c 15.5640
_cell_angle_alpha 90.00
_cell_angle_beta 90.02
_cell_angle_gamma 90.00
_space_group_name_H-M_alt 'P 1 21/m 1'
_space_group_IT_number 11
loop_
_space_group_symop_operation_xyz
'x,y,z'
'-x,-y,-z'
'-x,y+1/2,-z'
'x,-y+1/2,z'
loop_
_atom_site_label
_atom_site_type_symbol
_atom_site_fract_x
_atom_site_fract_y
_atom_site_fract_z
Sm1 Sm 0.0864 0.2500 0.1414
Dy1 Dy 0.3558 0.7500 0.3210
I1 I 0.0286 0.7500 0.2924
I2 I 0.1431 0.2500 0.9308
I3 I 0.2841 0.2500 0.4590
I4 I 0.3369 0.7500 0.1201
I5 I 0.4111 0.7500 0.7132
```

Computed properties:
Total magnetic moment   0.96 μB per formula unit
VASP energy   -3.768 eV/atom
Formation energy from raw total energies   -1.329 eV per atom

---

# 6
MgCd2I | PBE | optimized geometry

Structure (CIF):
```
data_MgCd2I
_cell_length_a 7.8998
_cell_length_b 7.8998
_cell_length_c 7.8998
_cell_angle_alpha 90.00
_cell_angle_beta 90.00
_cell_angle_gamma 90.00
_space_group_name_H-M_alt 'F m -3 m'
_space_group_IT_number 225
_space_group_name_Hall '-F 4 2 3'
loop_
_atom_site_label
_atom_site_type_symbol
_atom_site_fract_x
_atom_site_fract_y
_atom_site_fract_z
Mg1 Mg 0.0000 0.0000 0.0000
Cd1 Cd 0.2500 0.2500 0.2500
I1 I 0.0000 0.0000 0.5000
```

Computed properties:
Total magnetic moment   0.00 μB per formula unit
VASP energy   -1.072 eV/atom
Relative energy among the computed polymorphs   251 meV per atom
Formation energy from raw total energies   0.172 eV per atom

---

Please write out number 2 again, unchanged.
PuPaAs2 | PBE | optimized geometry

Structure (CIF):
```
data_PuPaAs2
_cell_length_a 4.0463
_cell_length_b 4.0463
_cell_length_c 25.8346
_cell_angle_alpha 90.00
_cell_angle_beta 90.00
_cell_angle_gamma 120.00
_space_group_name_H-M_alt 'R -3 m'
_space_group_IT_number 166
_space_group_name_Hall '-R 3 2"'
loop_
_atom_site_label
_atom_site_type_symbol
_atom_site_fract_x
_atom_site_fract_y
_atom_site_fract_z
Pu1 Pu 0.0000 0.0000 0.0000
Pa1 Pa 0.0000 0.0000 0.5000
As1 As 0.0000 0.0000 0.3960
```

Computed properties:
Total magnetic moment   5.38 μB per formula unit
VASP energy   -8.314 eV/atom
Relative energy among the computed polymorphs   1024 meV per atom
Calculated formation energy   -32 meV/atom